1.
Computed, not measured: an optimized crystal structure of CsHgO2F at the PBE level of DFT.

Properties
Symmetry: P4/mmm
Formation energy from raw total energies in eV per atom: 0.18

Cell: 4.4101 4.4101 5.4193 Å, 90.00 90.00 90.00°
Atoms (fractional coordinates):
Cs 0.0000 0.0000 0.0000
O 0.5000 0.0000 0.0000
O 0.0000 0.5000 0.0000
F 0.0000 0.0000 0.5000
Hg 0.5000 0.5000 0.5000

***

2.
Computed, not measured: an optimized crystal structure of HfBeNi2 at the PBE level of DFT.

Properties
Symmetry: R-3m
DFT total energy in eV per atom: -6.79

Cell: 4.8560 4.8560 7.8242 Å, 71.92 71.92 60.00°
Atoms (fractional coordinates):
Ni 0.9192 0.4196 0.2416
Ni 0.0808 0.5804 0.7584
Ni 0.5804 0.5804 0.7584
Ni 0.4196 0.4196 0.2416
Ni 0.5804 0.0808 0.7584
Ni 0.4196 0.9192 0.2416
Be 0.5000 0.5000 0.5000
Be 0.6677 0.6677 0.9969
Be 0.3323 0.3323 0.0031
Hf 0.0000 0.0000 0.0000
Hf 0.8604 0.8604 0.4187
Hf 0.1396 0.1396 0.5813